P:
## NaLiAs2Se (PBE)

Data for an optimized crystal structure of NaLiAs2Se.

a b c (Å): 5.057 5.057 5.220
angles (deg): 90.00 90.00 90.00
Fractional positions:
Na1 0.000 0.000 0.000
As1 0.000 0.500 0.000
As2 0.500 0.000 0.000
Se1 0.000 0.000 0.500
Li1 0.500 0.500 0.500

Summary:
symmetry = No. 123
total moment = 0.0 μB per formula unit
density = 3.2 g cm⁻³

=====

Q:
## NaLiAs2Se (PBE)

Data for an optimized crystal structure of NaLiAs2Se.

a b c (Å): 4.625 4.625 5.019
angles (deg): 90.00 90.00 90.00
Fractional positions:
Na1 0.500 0.500 0.500
As1 0.000 0.500 0.000
As2 0.500 0.000 0.000
Se1 0.000 0.000 0.500
Li1 0.000 0.000 0.000

Summary:
symmetry = No. 123
total moment = 0.0 μB per formula unit
density = 4.0 g cm⁻³

=====

Going by the energies, Q is most stable and the next is 519 meV per atom up.

=====

P:
## LiNbAs2Se (PBE)

Data for an optimized crystal structure of LiNbAs2Se.

a b c (Å): 4.418 4.418 4.711
angles (deg): 90.00 90.00 90.00
Fractional positions:
Nb1 0.500 0.500 0.500
As1 0.000 0.500 0.000
As2 0.500 0.000 0.000
Se1 0.000 0.000 0.500
Li1 0.000 0.000 0.000

Summary:
symmetry = No. 123
total moment = 0.0 μB per formula unit
density = 5.9 g cm⁻³

=====

Q:
## LiNbAs2Se (PBE)

Data for an optimized crystal structure of LiNbAs2Se.

a b c (Å): 5.053 5.053 5.055
angles (deg): 90.00 90.00 90.00
Fractional positions:
Nb1 0.000 0.000 0.000
As1 0.000 0.500 0.000
As2 0.500 0.000 0.000
Se1 0.000 0.000 0.500
Li1 0.500 0.500 0.500

Summary:
symmetry = No. 123
total moment = 0.0 μB per formula unit
density = 4.2 g cm⁻³

=====

Going by the energies, Q is most stable and the next is 668 meV per atom up.

=====

P:
## LiNi3As (PBE)

Data for an optimized crystal structure of LiNi3As.

a b c (Å): 4.488 4.907 6.996
angles (deg): 111.07 87.81 58.71
Fractional positions:
Li1 0.722 0.049 0.589
Li2 0.278 0.951 0.411
Ni1 0.679 0.591 0.621
Ni2 0.081 0.238 0.834
Ni3 0.413 0.799 0.010
Ni4 0.321 0.409 0.379
Ni5 0.587 0.201 0.990
Ni6 0.919 0.762 0.166
As1 0.871 0.353 0.244
As2 0.129 0.647 0.756

Summary:
symmetry = No. 2
total moment = 0.0 μB per formula unit
density = 7.3 g cm⁻³

=====

Q:
## LiNi3As (PBE)

Data for an optimized crystal structure of LiNi3As.

a b c (Å): 4.663 4.663 8.373
angles (deg): 106.17 106.17 90.00
Fractional positions:
Li1 0.617 0.117 0.234
Li2 0.883 0.383 0.766
Ni1 0.629 0.874 0.749
Ni2 0.126 0.880 0.251
Ni3 0.126 0.371 0.251
Ni4 0.120 0.874 0.749
Ni5 0.275 0.275 0.549
Ni6 0.725 0.725 0.451
As1 0.000 0.000 0.000
As2 0.250 0.750 0.500

Summary:
symmetry = No. 119
total moment = 0.0 μB per formula unit
density = 5.1 g cm⁻³

=====

Going by the energies, P is most stable and the next is 335 meV per atom up.